[1]
# V8CrRe2

Crystalline V8CrRe2 at its relaxed geometry (PBE, Alexandria).

extended XYZ file:
```
11
Lattice="5.0078 -4.0784 0.0000 5.0078 4.0784 0.0000 -1.7402 0.0000 4.1891" Properties=species:S:1:pos:R:3 pbc="T T T"
V 0.2016 0.0000 1.1747
V 3.8148 2.0014 0.6281
V 0.7281 0.0000 3.6385
V 4.4606 2.0014 3.5610
V 3.8148 -2.0014 0.6281
V 7.5474 0.0000 0.5506
V 4.4606 -2.0014 3.5610
V 8.0738 0.0000 3.0144
Cr 5.0078 0.0000 0.0000
Re 2.8052 0.0000 1.8347
Re 5.4702 0.0000 2.3545
```

Calculated values
**Relative energy among the computed polymorphs**: 434 meV per atom
**E**: -101.2 eV for the cell shown
**Energy of formation**: 0.569 eV per atom
**Mass density**: 8.073 Mg/m³



[2]
# V6Cr3Re

Crystalline V6Cr3Re at its relaxed geometry (PBE, Alexandria).

extended XYZ file:
```
20
Lattice="7.2809 0.0000 0.0000 0.0000 4.1443 0.0000 -2.4676 0.0000 8.5841" Properties=species:S:1:pos:R:3 pbc="T T T"
V -0.6508 1.0361 3.4460
V 0.5474 3.1082 1.7294
V -0.6982 1.0361 8.5652
V 0.5153 3.1082 6.8232
V 1.7929 1.0361 2.6027
V 1.7622 1.0361 5.1316
V 3.0511 3.1082 3.4525
V 3.0204 3.1082 5.9814
V 4.2980 1.0361 1.7609
V 5.5116 3.1082 0.0189
V 4.2659 1.0361 6.8547
V 5.4642 3.1082 5.1381
Cr -1.8747 3.1082 7.7038
Cr -0.6522 1.0361 5.9881
Cr 0.5939 3.1082 4.2903
Cr 4.2194 1.0361 4.2938
Cr 5.4655 3.1082 2.5960
Cr 6.6880 1.0361 0.8803
Re 3.0151 3.1082 0.8805
Re 1.7982 1.0361 7.7036
```

Calculated values
**E**: -194.9 eV for the cell shown
**Energy of formation**: -0.141 eV per atom
**Mass density**: 8.306 Mg/m³



[3]
# V4Cr2Re3

Crystalline V4Cr2Re3 at its relaxed geometry (PBE, Alexandria).

extended XYZ file:
```
18
Lattice="5.5086 -4.8077 0.0000 5.5086 4.8077 0.0000 -1.6312 0.0000 4.7428" Properties=species:S:1:pos:R:3 pbc="T T T"
V 0.3747 0.7228 2.1033
V -0.4409 -0.7228 4.4746
V 1.8894 0.5908 4.0042
V 2.7050 -0.5908 1.6328
V 6.6810 0.5908 3.1099
V 7.4966 -0.5908 0.7386
V 9.8269 0.7228 0.2681
V 9.0113 -0.7228 2.6395
Cr 3.0705 1.8498 2.0819
Cr 7.1311 1.8498 0.2895
Cr 2.2549 -1.8498 4.4533
Cr 6.3155 -1.8498 2.6608
Re 4.1957 2.9682 0.0151
Re 6.0058 2.9682 2.3563
Re 5.1008 0.5036 1.1857
Re 4.2852 -0.5036 3.5571
Re 3.3801 -2.9682 2.3864
Re 5.1902 -2.9682 4.7277
```

Calculated values
**Relative energy among the computed polymorphs**: 367 meV per atom
**E**: -184.0 eV for the cell shown
**Energy of formation**: 0.118 eV per atom
**Mass density**: 11.454 Mg/m³



[4]
# VCr4Re

Crystalline VCr4Re at its relaxed geometry (PBE, Alexandria).

extended XYZ file:
```
6
Lattice="0.0000 3.3580 3.3580 3.3580 0.0000 3.3580 3.3580 3.3580 0.0000" Properties=species:S:1:pos:R:3 pbc="T T T"
V 0.0000 0.0000 0.0000
Cr 4.2004 2.5155 2.5155
Cr 2.5155 4.2004 2.5155
Cr 2.5155 2.5155 4.2004
Cr 4.2004 4.2004 4.2004
Re 1.6790 1.6790 1.6790
```

Calculated values
**Relative energy among the computed polymorphs**: 102 meV per atom
**E**: -59.9 eV for the cell shown
**Energy of formation**: 0.026 eV per atom
**Mass density**: 9.761 Mg/m³



[5]
# VCrRe3

Crystalline VCrRe3 at its relaxed geometry (PBE, Alexandria).

extended XYZ file:
```
5
Lattice="4.4161 0.0000 0.0000 0.0000 4.4161 0.0000 0.0000 0.0000 4.4161" Properties=species:S:1:pos:R:3 pbc="T T T"
V 0.0000 0.0000 0.0000
Cr 2.2081 2.2081 2.2081
Re 0.0000 2.2081 2.2081
Re 2.2081 0.0000 2.2081
Re 2.2081 2.2081 0.0000
```

Calculated values
**Relative energy among the computed polymorphs**: 0 meV per atom
**E**: -48.7 eV for the cell shown
**Energy of formation**: 1.487 eV per atom
**Mass density**: 12.755 Mg/m³



[6]
# V3Cr2Re2

Crystalline V3Cr2Re2 at its relaxed geometry (PBE, Alexandria).

extended XYZ file:
```
7
Lattice="2.9812 0.0000 0.0000 1.4757 4.7406 0.0000 0.0022 0.8849 6.5966" Properties=species:S:1:pos:R:3 pbc="T T T"
V 0.0000 0.0000 0.0000
V 1.4862 2.7961 5.6608
V 2.9729 2.8294 0.9358
Cr 1.4894 0.9602 1.8429
Cr 2.9698 4.6652 4.7537
Re 1.4817 3.8088 2.8162
Re 2.9774 1.8167 3.7804
```

Calculated values
**Relative energy among the computed polymorphs**: 0 meV per atom
**E**: -72.6 eV for the cell shown
**Energy of formation**: -0.162 eV per atom
**Mass density**: 11.208 Mg/m³



[7]
# V8Cr3Re2

Crystalline V8Cr3Re2 at its relaxed geometry (PBE, Alexandria).

extended XYZ file:
```
13
Lattice="5.6996 -3.2090 0.0000 5.6996 3.2090 0.0000 -0.6728 0.0000 5.0570" Properties=species:S:1:pos:R:3 pbc="T T T"
V 4.3474 2.0151 0.2808
V 0.8416 0.0000 2.1918
V 6.3789 2.0151 4.7762
V 3.0230 0.0000 3.6998
V 7.7034 0.0000 1.3571
V 4.3474 -2.0151 0.2808
V 9.8848 0.0000 2.8652
V 6.3789 -2.0151 4.7762
Cr 5.3632 1.1706 2.5285
Cr 5.6996 0.0000 0.0000
Cr 5.3632 -1.1706 2.5285
Re 3.2189 0.0000 1.2694
Re 7.5075 0.0000 3.7875
```

Calculated values
**E**: -122.2 eV for the cell shown
**Energy of formation**: 0.347 eV per atom
**Mass density**: 8.401 Mg/m³



[8]
# V2CrRe

Crystalline V2CrRe at its relaxed geometry (PBE, Alexandria).

extended XYZ file:
```
4
Lattice="0.0000 2.9829 2.9829 2.9829 0.0000 2.9829 2.9829 2.9829 0.0000" Properties=species:S:1:pos:R:3 pbc="T T T"
V 1.4915 1.4915 1.4915
V 4.4744 4.4744 4.4744
Cr 0.0000 0.0000 0.0000
Re 2.9829 2.9829 2.9829
```

Calculated values
**Relative energy among the computed polymorphs**: 0 meV per atom
**E**: -41.3 eV for the cell shown
**Energy of formation**: -0.250 eV per atom
**Mass density**: 10.639 Mg/m³